# CaGePdAu GGA-PBE relaxed
data_CaGePdAu
_cell_length_a 4.104
_cell_length_b 4.104
_cell_length_c 9.794
_cell_angle_alpha 90.00
_cell_angle_beta 90.00
_cell_angle_gamma 90.00
_space_group_name_H-M_alt 'P 1'
_space_group_IT_number 1
_space_group_name_Hall 'P 1'
loop_
_atom_site_label
_atom_site_fract_x
_atom_site_fract_y
_atom_site_fract_z
Ca1 0.250 0.250 0.226
Ca2 0.750 0.750 0.774
Ge1 0.250 0.250 0.651
Ge2 0.750 0.750 0.349
Pd1 0.250 0.750 0.500
Pd2 0.750 0.250 0.500
Au1 0.250 0.250 0.918
Au2 0.750 0.750 0.082
# SG	P4/nmm, No. 129
# crystal system	tetragonal
# M_tot	0.00	μB/f.u.
# energy above the lowest structure with this stoichiometry	0.0	meV/atom
# DOS at the Fermi energy	3.9	states/eV per cell
# electronic total energy	-4.43	eV/atom
# formation energy	-656	meV per atom

---

# Ca3Ge2Pd9Au GGA-PBE relaxed
data_Ca3Ge2Pd9Au
_cell_length_a 7.705
_cell_length_b 7.705
_cell_length_c 6.302
_cell_angle_alpha 90.00
_cell_angle_beta 90.00
_cell_angle_gamma 120.00
_space_group_name_H-M_alt 'P 1'
_space_group_IT_number 1
_space_group_name_Hall 'P 1'
loop_
_atom_site_label
_atom_site_fract_x
_atom_site_fract_y
_atom_site_fract_z
Ca1 0.000 0.000 0.000
Ca2 0.333 0.667 0.661
Ca3 0.667 0.333 0.339
Ge1 0.333 0.667 0.148
Ge2 0.667 0.333 0.852
Pd1 0.000 0.500 0.000
Pd2 0.178 0.357 0.332
Pd3 0.178 0.822 0.332
Pd4 0.357 0.178 0.668
Pd5 0.500 0.000 0.000
Pd6 0.500 0.500 0.000
Pd7 0.643 0.822 0.332
Pd8 0.822 0.178 0.668
Pd9 0.822 0.643 0.668
Au1 0.000 0.000 0.500
# SG	P-3m1, No. 164
# crystal system	trigonal
# M_tot	0.00	μB/f.u.
# DOS at the Fermi energy	4.1	states/eV per cell
# electronic total energy	-4.67	eV/atom
# formation energy	-324	meV per atom

---

# CaGe2Pd5Au GGA-PBE relaxed
data_CaGe2Pd5Au
_cell_length_a 4.183
_cell_length_b 4.183
_cell_length_c 9.113
_cell_angle_alpha 90.00
_cell_angle_beta 90.00
_cell_angle_gamma 90.00
_space_group_name_H-M_alt 'P 1'
_space_group_IT_number 1
_space_group_name_Hall 'P 1'
loop_
_atom_site_label
_atom_site_fract_x
_atom_site_fract_y
_atom_site_fract_z
Ca1 0.000 0.000 0.000
Ge1 0.500 0.500 0.368
Ge2 0.500 0.500 0.632
Pd1 0.000 0.500 0.232
Pd2 0.000 0.500 0.768
Pd3 0.500 0.000 0.232
Pd4 0.500 0.000 0.768
Pd5 0.500 0.500 0.000
Au1 0.000 0.000 0.500
# SG	P4/mmm, No. 123
# crystal system	tetragonal
# M_tot	0.00	μB/f.u.
# DOS at the Fermi energy	0.7	states/eV per cell
# electronic total energy	-4.89	eV/atom
# formation energy	-392	meV per atom